# PBE MgSc3Ni8, relaxed
# Calculated volume in Å³/cell: 489.8
# Crystal system: trigonal
# Raw total energy in eV per atom: -6.04
# Spin magnetization in μB per atom: 0.00
# DOS at the Fermi energy in states/eV/cell: 30.2
# ΔE_f in meV per atom: -475
data_MgSc3Ni8
_chemical_formula_sum 'Mg3 Sc9 Ni24'
_symmetry_space_group_name_H-M 'R 3 m'
_symmetry_Int_Tables_number 160
_symmetry_space_group_name_Hall 'R 3 -2"'
_cell_length_a 4.8678
_cell_length_b 4.8678
_cell_length_c 23.8667
_cell_angle_alpha 90.00
_cell_angle_beta 90.00
_cell_angle_gamma 120.00
loop_
_atom_site_label
_atom_site_type_symbol
_atom_site_fract_x
_atom_site_fract_y
_atom_site_fract_z
Mg1 Mg 0.0000 0.0000 0.0000
Sc1 Sc 0.0000 0.0000 0.3709
Sc2 Sc 0.0000 0.0000 0.4979
Sc3 Sc 0.0000 0.0000 0.8773
Ni1 Ni 0.0000 0.0000 0.1862
Ni2 Ni 0.0000 0.0000 0.6861
Ni3 Ni 0.9998 0.4999 0.4367
Ni4 Ni 0.1676 0.3352 0.2694

# PBE MgSc2Ni9, relaxed
# Calculated volume in Å³/cell: 476.3
# Crystal system: trigonal
# Raw total energy in eV per atom: -5.85
# Spin magnetization in μB per atom: 0.17
# DOS at the Fermi energy in states/eV/cell: 41.0
# ΔE_f in meV per atom: -324
data_MgSc2Ni9
_chemical_formula_sum 'Mg3 Sc6 Ni27'
_symmetry_space_group_name_H-M 'R -3 m'
_symmetry_Int_Tables_number 166
_symmetry_space_group_name_Hall '-R 3 2"'
_cell_length_a 4.8182
_cell_length_b 4.8182
_cell_length_c 23.6911
_cell_angle_alpha 90.00
_cell_angle_beta 90.00
_cell_angle_gamma 120.00
loop_
_atom_site_label
_atom_site_type_symbol
_atom_site_fract_x
_atom_site_fract_y
_atom_site_fract_z
Mg1 Mg 0.0000 0.0000 0.0000
Sc1 Sc 0.0000 0.0000 0.1379
Ni1 Ni 0.0000 0.0000 0.3333
Ni2 Ni 0.0000 0.0000 0.5000
Ni3 Ni 0.0029 0.5015 0.9162

# PBE MgSc4Ni, relaxed
# Calculated volume in Å³/cell: 280.6
# E above lowest polymorph in eV per atom: 0.201
# Crystal system: monoclinic
# Raw total energy in eV per atom: -5.44
# Spin magnetization in μB per atom: 0.00
# DOS at the Fermi energy in states/eV/cell: 14.5
# ΔE_f in meV per atom: 13
data_MgSc4Ni
_chemical_formula_sum 'Mg2 Sc8 Ni2'
_symmetry_space_group_name_H-M 'C 1 2/m 1'
_symmetry_Int_Tables_number 12
_cell_length_a 10.3642
_cell_length_b 3.3996
_cell_length_c 8.5676
_cell_angle_alpha 90.00
_cell_angle_beta 111.63
_cell_angle_gamma 90.00
loop_
_symmetry_equiv_pos_as_xyz
'x,y,z'
'-x,-y,-z'
'-x,y,-z'
'x,-y,z'
'x+1/2,y+1/2,z'
'-x+1/2,-y+1/2,-z'
'-x+1/2,y+1/2,-z'
'x+1/2,-y+1/2,z'
loop_
_atom_site_label
_atom_site_type_symbol
_atom_site_fract_x
_atom_site_fract_y
_atom_site_fract_z
Mg1 Mg 0.0000 0.0000 0.0000
Sc1 Sc 0.1195 0.0000 0.3897
Sc2 Sc 0.1668 0.5000 0.8150
Ni1 Ni 0.0000 0.5000 0.5000

# PBE MgSc4Ni, relaxed
# Calculated volume in Å³/cell: 2078.1
# E above lowest polymorph in eV per atom: 0.000
# Crystal system: cubic
# Raw total energy in eV per atom: -5.64
# Spin magnetization in μB per atom: 0.00
# DOS at the Fermi energy in states/eV/cell: 150.3
# ΔE_f in meV per atom: -188
data_MgSc4Ni
_chemical_formula_sum 'Mg16 Sc64 Ni16'
_symmetry_space_group_name_H-M 'F -4 3 m'
_symmetry_Int_Tables_number 216
_symmetry_space_group_name_Hall 'F -4 2 3'
_cell_length_a 12.7610
_cell_length_b 12.7610
_cell_length_c 12.7610
_cell_angle_alpha 90.00
_cell_angle_beta 90.00
_cell_angle_gamma 90.00
loop_
_atom_site_label
_atom_site_type_symbol
_atom_site_fract_x
_atom_site_fract_y
_atom_site_fract_z
Mg1 Mg 0.0816 0.0816 0.4184
Sc1 Sc 0.0000 0.0000 0.1863
Sc2 Sc 0.0644 0.2500 0.2500
Sc3 Sc 0.1537 0.1537 0.6537
Ni1 Ni 0.1419 0.1419 0.8581

# PBE MgSc3Ni, relaxed
# Calculated volume in Å³/cell: 119.5
# E above lowest polymorph in eV per atom: 0.142
# Crystal system: cubic
# Raw total energy in eV per atom: -5.29
# Spin magnetization in μB per atom: 0.00
# DOS at the Fermi energy in states/eV/cell: 12.1
# ΔE_f in meV per atom: -12
data_MgSc3Ni
_chemical_formula_sum 'Mg1 Sc3 Ni1'
_symmetry_space_group_name_H-M 'P m -3 m'
_symmetry_Int_Tables_number 221
_symmetry_space_group_name_Hall '-P 4 2 3'
_cell_length_a 4.9261
_cell_length_b 4.9261
_cell_length_c 4.9261
_cell_angle_alpha 90.00
_cell_angle_beta 90.00
_cell_angle_gamma 90.00
loop_
_atom_site_label
_atom_site_type_symbol
_atom_site_fract_x
_atom_site_fract_y
_atom_site_fract_z
Mg1 Mg 0.0000 0.0000 0.0000
Sc1 Sc 0.0000 0.5000 0.5000
Ni1 Ni 0.5000 0.5000 0.5000

# PBE Mg5Sc4Ni2, relaxed
# Calculated volume in Å³/cell: 235.3
# Crystal system: monoclinic
# Raw total energy in eV per atom: -4.29
# Spin magnetization in μB per atom: 0.00
# DOS at the Fermi energy in states/eV/cell: 8.5
# ΔE_f in meV per atom: -210
data_Mg5Sc4Ni2
_chemical_formula_sum 'Mg5 Sc4 Ni2'
_symmetry_space_group_name_H-M 'P 1 2/m 1'
_symmetry_Int_Tables_number 10
_cell_length_a 7.6680
_cell_length_b 3.3038
_cell_length_c 9.3178
_cell_angle_alpha 90.00
_cell_angle_beta 94.66
_cell_angle_gamma 90.00
loop_
_symmetry_equiv_pos_as_xyz
'x,y,z'
'-x,-y,-z'
'-x,y,-z'
'x,-y,z'
loop_
_atom_site_label
_atom_site_type_symbol
_atom_site_fract_x
_atom_site_fract_y
_atom_site_fract_z
Mg1 Mg 0.0000 0.0000 0.0000
Mg2 Mg 0.0414 0.0000 0.3349
Mg3 Mg 0.3329 0.0000 0.8593
Sc1 Sc 0.3055 0.5000 0.5557
Sc2 Sc 0.3263 0.5000 0.1678
Ni1 Ni 0.4309 0.0000 0.3655

# PBE MgScNi2Sn, relaxed
# Calculated volume in Å³/cell: 99.9
# Crystal system: tetragonal
# Raw total energy in eV per atom: -4.13
# Spin magnetization in μB per atom: 0.00
# DOS at the Fermi energy in states/eV/cell: 3.7
# ΔE_f in meV per atom: 572
data_MgScNi2Sn
_chemical_formula_sum 'Mg1 Sc1 Ni2 Sn1'
_symmetry_space_group_name_H-M 'P 4/m m m'
_symmetry_Int_Tables_number 123
_symmetry_space_group_name_Hall '-P 4 2'
_cell_length_a 4.4627
_cell_length_b 4.4627
_cell_length_c 5.0147
_cell_angle_alpha 90.00
_cell_angle_beta 90.00
_cell_angle_gamma 90.00
loop_
_atom_site_label
_atom_site_type_symbol
_atom_site_fract_x
_atom_site_fract_y
_atom_site_fract_z
Mg1 Mg 0.0000 0.0000 0.0000
Sc1 Sc 0.5000 0.5000 0.5000
Ni1 Ni 0.0000 0.5000 0.0000
Sn1 Sn 0.0000 0.0000 0.5000

# PBE MgSc2TaNi, relaxed
# Calculated volume in Å³/cell: 128.5
# Crystal system: tetragonal
# Raw total energy in eV per atom: -5.15
# Spin magnetization in μB per atom: 0.11
# DOS at the Fermi energy in states/eV/cell: 7.6
# ΔE_f in meV per atom: 1230
data_MgSc2TaNi
_chemical_formula_sum 'Mg1 Sc2 Ta1 Ni1'
_symmetry_space_group_name_H-M 'P 4/m m m'
_symmetry_Int_Tables_number 123
_symmetry_space_group_name_Hall '-P 4 2'
_cell_length_a 4.9571
_cell_length_b 4.9571
_cell_length_c 5.2278
_cell_angle_alpha 90.00
_cell_angle_beta 90.00
_cell_angle_gamma 90.00
loop_
_atom_site_label
_atom_site_type_symbol
_atom_site_fract_x
_atom_site_fract_y
_atom_site_fract_z
Mg1 Mg 0.0000 0.0000 0.0000
Sc1 Sc 0.0000 0.5000 0.5000
Ta1 Ta 0.0000 0.0000 0.5000
Ni1 Ni 0.5000 0.5000 0.0000

# PBE TbMgScNi, relaxed
# Calculated volume in Å³/cell: 335.5
# E above lowest polymorph in eV per atom: 0.142
# Crystal system: cubic
# Raw total energy in eV per atom: -4.70
# Spin magnetization in μB per atom: 0.00
# DOS at the Fermi energy in states/eV/cell: 13.1
# ΔE_f in meV per atom: -112
data_TbMgScNi
_chemical_formula_sum 'Tb4 Mg4 Sc4 Ni4'
_symmetry_space_group_name_H-M 'F -4 3 m'
_symmetry_Int_Tables_number 216
_symmetry_space_group_name_Hall 'F -4 2 3'
_cell_length_a 6.9486
_cell_length_b 6.9486
_cell_length_c 6.9486
_cell_angle_alpha 90.00
_cell_angle_beta 90.00
_cell_angle_gamma 90.00
loop_
_atom_site_label
_atom_site_type_symbol
_atom_site_fract_x
_atom_site_fract_y
_atom_site_fract_z
Tb1 Tb 0.0000 0.0000 0.0000
Mg1 Mg 0.2500 0.2500 0.2500
Sc1 Sc 0.0000 0.0000 0.5000
Ni1 Ni 0.2500 0.2500 0.7500

# PBE TbMgScNi, relaxed
# Calculated volume in Å³/cell: 86.3
# E above lowest polymorph in eV per atom: 0.000
# Crystal system: tetragonal
# Raw total energy in eV per atom: -4.84
# Spin magnetization in μB per atom: 0.00
# DOS at the Fermi energy in states/eV/cell: 2.9
# ΔE_f in meV per atom: -254
data_TbMgScNi
_chemical_formula_sum 'Tb1 Mg1 Sc1 Ni1'
_symmetry_space_group_name_H-M 'P 4 m m'
_symmetry_Int_Tables_number 99
_cell_length_a 3.3436
_cell_length_b 3.3436
_cell_length_c 7.7194
_cell_angle_alpha 90.00
_cell_angle_beta 90.00
_cell_angle_gamma 90.00
loop_
_symmetry_equiv_pos_as_xyz
'x,y,z'
'-y,x,z'
'-x,-y,z'
'y,-x,z'
'-x,y,z'
'y,x,z'
'x,-y,z'
'-y,-x,z'
loop_
_atom_site_label
_atom_site_type_symbol
_atom_site_fract_x
_atom_site_fract_y
_atom_site_fract_z
Tb1 Tb 0.0000 0.0000 0.0000
Mg1 Mg 0.5000 0.5000 0.3167
Sc1 Sc 0.0000 0.0000 0.5960
Ni1 Ni 0.5000 0.5000 0.7688

# PBE Mg2ScTlNi, relaxed
# Calculated volume in Å³/cell: 113.8
# E above lowest polymorph in eV per atom: 0.000
# Crystal system: tetragonal
# Raw total energy in eV per atom: -3.60
# Spin magnetization in μB per atom: 0.00
# DOS at the Fermi energy in states/eV/cell: 2.7
# ΔE_f in meV per atom: -70
data_Mg2ScTlNi
_chemical_formula_sum 'Mg2 Sc1 Tl1 Ni1'
_symmetry_space_group_name_H-M 'P 4/m m m'
_symmetry_Int_Tables_number 123
_symmetry_space_group_name_Hall '-P 4 2'
_cell_length_a 4.9025
_cell_length_b 4.9025
_cell_length_c 4.7340
_cell_angle_alpha 90.00
_cell_angle_beta 90.00
_cell_angle_gamma 90.00
loop_
_atom_site_label
_atom_site_type_symbol
_atom_site_fract_x
_atom_site_fract_y
_atom_site_fract_z
Mg1 Mg 0.0000 0.5000 0.0000
Sc1 Sc 0.0000 0.0000 0.5000
Tl1 Tl 0.5000 0.5000 0.5000
Ni1 Ni 0.0000 0.0000 0.0000

# PBE MgScTlNi, relaxed
# Calculated volume in Å³/cell: 301.9
# Crystal system: cubic
# Raw total energy in eV per atom: -4.19
# Spin magnetization in μB per atom: 0.00
# DOS at the Fermi energy in states/eV/cell: 5.5
# ΔE_f in meV per atom: -172
data_MgScTlNi
_chemical_formula_sum 'Mg4 Sc4 Tl4 Ni4'
_symmetry_space_group_name_H-M 'F -4 3 m'
_symmetry_Int_Tables_number 216
_symmetry_space_group_name_Hall 'F -4 2 3'
_cell_length_a 6.7086
_cell_length_b 6.7086
_cell_length_c 6.7086
_cell_angle_alpha 90.00
_cell_angle_beta 90.00
_cell_angle_gamma 90.00
loop_
_atom_site_label
_atom_site_type_symbol
_atom_site_fract_x
_atom_site_fract_y
_atom_site_fract_z
Mg1 Mg 0.0000 0.0000 0.0000
Sc1 Sc 0.0000 0.0000 0.5000
Tl1 Tl 0.2500 0.2500 0.2500
Ni1 Ni 0.2500 0.2500 0.7500

Number 1: density 6.4 g/cm3. Number 2: density 6.7 g/cm3. Number 3: density 3.1 g/cm3. Number 4: density 3.4 g/cm3. Number 5: density 3.0 g/cm3. Number 6: density 3.0 g/cm3. Number 7: density 5.1 g/cm3. Number 8: density 4.6 g/cm3. Number 9: density 5.7 g/cm3. Number 10: density 5.5 g/cm3. Number 11: density 5.2 g/cm3. Number 12: density 7.3 g/cm3.